Record 1
The following is a meta-GGA SCAN calculation of a crystal of La2ReP2 relaxed with PBEsol, from Alexandria.

Its calculated formation energy is -841 meV/atom. As for the volume: 19.4 A^3/atom. As for the density of states at the Fermi level: 0.71 states/eV/atom. The value obtained for the spin magnetization is 0.00 μB/f.u.

The structure belongs to space group P4/mbm (No. 127); the cell edges are 6.402, 6.402 and 4.728 Å and the angles 90.00°, 90.00° and 90.00°. The inequivalent atoms are La at (0.180, 0.320, 0.000), Re at (0.000, 0.000, 0.500) and P at (0.133, 0.633, 0.500).

***

Record 2
The following is a meta-GGA SCAN calculation of a crystal of LaReP2S relaxed with PBEsol, from Alexandria.

As for the volume: 30.0 A^3/atom. Its uncorrected formation energy is 1.598 eV/atom. As for the density of states at the Fermi level: 0.75 states/eV/atom. The value obtained for the spin magnetization is 3.31 μB/f.u.

The structure belongs to space group P4/mmm (No. 123); the cell edges are 5.375, 5.375 and 5.199 Å and the angles 90.00°, 90.00° and 90.00°. The inequivalent atoms are La at (0.000, 0.000, 0.000), Re at (0.500, 0.500, 0.500), P at (0.000, 0.500, 0.000) and S at (0.000, 0.000, 0.500).

***

Record 3
The following is a meta-GGA SCAN calculation of a crystal of LaReSiP2 relaxed with PBEsol, from Alexandria.

As for the volume: 20.2 A^3/atom. Its uncorrected formation energy is -0.112 eV/atom. As for the density of states at the Fermi level: 0.74 states/eV/atom. The value obtained for the spin magnetization is 0.00 μB/f.u.

The structure belongs to space group P4/mmm (No. 123); the cell edges are 4.655, 4.655 and 4.664 Å and the angles 90.00°, 90.00° and 90.00°. The inequivalent atoms are La at (0.000, 0.000, 0.000), Re at (0.500, 0.500, 0.500), Si at (0.500, 0.500, 0.000) and P at (0.000, 0.500, 0.500).

***

Record 4
The following is a meta-GGA SCAN calculation of a crystal of La3P4Rh13 relaxed with PBEsol, from Alexandria.

Its calculated formation energy is -750 meV/atom. As for the volume: 16.5 A^3/atom. As for the density of states at the Fermi level: 0.53 states/eV/atom. The value obtained for the spin magnetization is 0.00 μB/f.u.

The structure belongs to space group Pm-3n (No. 223); the cell edges are 8.705, 8.705 and 8.705 Å and the angles 90.00°, 90.00° and 90.00°. The inequivalent atoms are La at (0.000, 0.250, 0.500), P at (0.250, 0.250, 0.250), Rh at (0.000, 0.000, 0.000) and Rh at (0.000, 0.263, 0.157).

***

Record 5
The following is a meta-GGA SCAN calculation of a crystal of LaP2Rh relaxed with PBEsol, from Alexandria.

Its calculated formation energy is -1203 meV/atom. As for the volume: 19.2 A^3/atom. As for the density of states at the Fermi level: 0.11 states/eV/atom. Its polymorph energy (0 for the lowest one) is 14 meV/atom. The value obtained for the spin magnetization is 0.00 μB/f.u.

The structure belongs to space group P2/m (No. 10); the cell edges are 4.424, 3.943 and 4.467 Å and the angles 90.00°, 100.38° and 90.00°. The inequivalent atoms are La at (0.000, 0.000, 0.000), P at (0.250, 0.500, 0.625) and Rh at (0.500, 0.000, 0.500).

***

Record 6
The following is a meta-GGA SCAN calculation of a crystal of LaPRh2 relaxed with PBEsol, from Alexandria.

Its calculated formation energy is -881 meV/atom. As for the volume: 18.7 A^3/atom. As for the density of states at the Fermi level: 0.58 states/eV/atom. The value obtained for the spin magnetization is 0.00 μB/f.u.

The structure belongs to space group R3m (No. 160, hexagonal axes); the cell edges are 4.0635, 4.0635 and 15.7167 Å and the angles 90.00°, 90.00° and 120.00°. The inequivalent atoms are La at (0.0000, 0.0000, 0.0000), P at (0.0000, 0.0000, 0.8092), Rh at (0.0000, 0.0000, 0.1985) and Rh at (0.0000, 0.0000, 0.4570).

***

Record 7
The following is a meta-GGA SCAN calculation of a crystal of LaP2Rh relaxed with PBEsol, from Alexandria.

Its calculated formation energy is -1217 meV/atom. As for the volume: 18.0 A^3/atom. As for the density of states at the Fermi level: 0.06 states/eV/atom. Its polymorph energy (0 for the lowest one) is 0 meV/atom. The value obtained for the spin magnetization is 0.00 μB/f.u.

The structure belongs to space group R-3m (No. 166, hexagonal axes); the cell edges are 3.9112, 3.9112 and 16.2889 Å and the angles 90.00°, 90.00° and 120.00°. The inequivalent atoms are La at (0.0000, 0.0000, 0.0000), P at (0.0000, 0.0000, 0.2230) and Rh at (0.0000, 0.0000, 0.5000).

***

Record 8
The following is a meta-GGA SCAN calculation of a crystal of LaPRh2 relaxed with PBEsol, from Alexandria.

Its calculated formation energy is -1057 meV/atom. As for the volume: 19.0 A^3/atom. As for the density of states at the Fermi level: 0.27 states/eV/atom. The value obtained for the spin magnetization is 0.00 μB/f.u.

The structure belongs to space group Pm (No. 6); the cell edges are 4.009, 4.010 and 4.718 Å and the angles 90.00°, 90.07° and 90.00°. The inequivalent atoms are La at (0.000, 0.000, 0.000), P at (0.500, 0.500, 0.311), Rh at (0.000, 0.500, 0.536) and Rh at (0.500, 0.000, 0.536).